ZrCdGe3 after structural relaxation. Source: the Alexandria database, functional PBE-GGA.

abc: 5.2362 5.2362 5.2362
angles: 90.00 90.00 90.00
Fractional coordinates of all 5 atoms:
Zr 0.0000 0.0000 0.0000
Ge 0.0000 0.0000 0.5000
Cd 0.5000 0.5000 0.5000
Ge 0.5000 0.0000 0.0000
Ge 0.0000 0.5000 0.0000

E above lowest polymorph in meV per atom: 0
Space group: No. 221